A:
The following is a PBE calculation of a geometry-optimized Ho3Er3Mg structure, from Alexandria.

Summary:
space-group type: No. 148
volume: 31.6 Å³ per atom

Unit cell a=14.171 b=14.171 c=14.171 alpha=24.85 beta=24.85 gamma=24.85
Fractional positions:
1 Ho 0.099 0.435 0.771
2 Ho 0.229 0.901 0.565
3 Ho 0.435 0.771 0.099
4 Ho 0.565 0.229 0.901
5 Ho 0.771 0.099 0.435
6 Ho 0.901 0.565 0.229
7 Er 0.035 0.700 0.368
8 Er 0.300 0.632 0.965
9 Er 0.368 0.035 0.700
10 Er 0.632 0.965 0.300
11 Er 0.700 0.368 0.035
12 Er 0.965 0.300 0.632
13 Mg 0.167 0.167 0.167
14 Mg 0.833 0.833 0.833

---

B:
The following is a PBE calculation of a geometry-optimized Ho3Er3Mg structure, from Alexandria.

Summary:
space-group type: No. 176
volume: 29.9 Å³ per atom

Unit cell a=9.323 b=9.323 c=5.559 alpha=90.00 beta=90.00 gamma=120.00
Fractional positions:
1 Ho 0.056 0.815 0.250
2 Ho 0.185 0.241 0.250
3 Ho 0.241 0.056 0.750
4 Ho 0.759 0.944 0.250
5 Ho 0.815 0.759 0.750
6 Ho 0.944 0.185 0.750
7 Er 0.102 0.625 0.750
8 Er 0.375 0.477 0.750
9 Er 0.477 0.102 0.250
10 Er 0.523 0.898 0.750
11 Er 0.625 0.523 0.250
12 Er 0.898 0.375 0.250
13 Mg 0.333 0.667 0.250
14 Mg 0.667 0.333 0.750

---

Most stable to least stable, the ends of the list are B and A.

---

A:
The following is a PBE calculation of a geometry-optimized HoEr3Mg structure, from Alexandria.

Summary:
space-group type: No. 12
volume: 29.3 Å³ per atom

Unit cell a=7.478 b=7.478 c=11.599 alpha=99.57 beta=99.57 gamma=27.27
Fractional positions:
1 Ho 0.046 0.046 0.159
2 Ho 0.954 0.954 0.841
3 Er 0.149 0.149 0.451
4 Er 0.246 0.246 0.748
5 Er 0.350 0.350 0.038
6 Er 0.650 0.650 0.962
7 Er 0.754 0.754 0.252
8 Er 0.851 0.851 0.549
9 Mg 0.451 0.451 0.356
10 Mg 0.549 0.549 0.644

---

B:
The following is a PBE calculation of a geometry-optimized HoEr3Mg structure, from Alexandria.

Summary:
space-group type: No. 11
volume: 31.7 Å³ per atom

Unit cell a=3.547 b=11.021 c=8.297 alpha=90.00 beta=102.03 gamma=90.00
Fractional positions:
1 Ho 0.011 0.250 0.038
2 Ho 0.989 0.750 0.962
3 Er 0.158 0.506 0.309
4 Er 0.158 0.994 0.309
5 Er 0.302 0.750 0.600
6 Er 0.698 0.250 0.400
7 Er 0.842 0.006 0.691
8 Er 0.842 0.494 0.691
9 Mg 0.353 0.250 0.715
10 Mg 0.647 0.750 0.285

---

Most stable to least stable, the ends of the list are A and B.

---

A:
The following is a PBE calculation of a geometry-optimized HoErMgNi structure, from Alexandria.

Summary:
space-group type: No. 216
volume: 22.3 Å³ per atom

Unit cell a=5.013 b=5.013 c=5.013 alpha=60.00 beta=60.00 gamma=60.00
Fractional positions:
1 Ho 0.000 0.000 0.000
2 Er 0.500 0.500 0.500
3 Mg 0.250 0.250 0.250
4 Ni 0.750 0.750 0.750

---

B:
The following is a PBE calculation of a geometry-optimized HoErMgNi structure, from Alexandria.

Summary:
space-group type: No. 99
volume: 23.0 Å³ per atom

Unit cell a=3.420 b=3.420 c=7.857 alpha=90.00 beta=90.00 gamma=90.00
Fractional positions:
1 Ho 0.000 0.000 0.000
2 Er 0.000 0.000 0.595
3 Mg 0.500 0.500 0.299
4 Ni 0.500 0.500 0.796

---

Most stable to least stable, the ends of the list are B and A.

---

A:
The following is a PBE calculation of a geometry-optimized HoErMgOs structure, from Alexandria.

Summary:
space-group type: No. 216
volume: 21.6 Å³ per atom

Unit cell a=4.963 b=4.963 c=4.963 alpha=60.00 beta=60.00 gamma=60.00
Fractional positions:
1 Ho 0.000 0.000 0.000
2 Er 0.500 0.500 0.500
3 Mg 0.250 0.250 0.250
4 Os 0.750 0.750 0.750

---

B:
The following is a PBE calculation of a geometry-optimized HoErMgOs structure, from Alexandria.

Summary:
space-group type: No. 99
volume: 24.1 Å³ per atom

Unit cell a=3.387 b=3.387 c=8.387 alpha=90.00 beta=90.00 gamma=90.00
Fractional positions:
1 Ho 0.000 0.000 0.000
2 Er 0.000 0.000 0.608
3 Mg 0.500 0.500 0.305
4 Os 0.500 0.500 0.803

---

Most stable to least stable, the ends of the list are B and A.

---

A:
The following is a PBE calculation of a geometry-optimized PmHoErMg structure, from Alexandria.

Summary:
space-group type: No. 216
volume: 29.7 Å³ per atom

Unit cell a=5.518 b=5.518 c=5.518 alpha=60.00 beta=60.00 gamma=60.00
Fractional positions:
1 Pm 0.000 0.000 0.000
2 Ho 0.500 0.500 0.500
3 Er 0.250 0.250 0.250
4 Mg 0.750 0.750 0.750

---

B:
The following is a PBE calculation of a geometry-optimized PmHoErMg structure, from Alexandria.

Summary:
space-group type: No. 99
volume: 29.8 Å³ per atom

Unit cell a=3.614 b=3.614 c=9.131 alpha=90.00 beta=90.00 gamma=90.00
Fractional positions:
1 Pm 0.000 0.000 0.000
2 Ho 0.500 0.500 0.728
3 Er 0.500 0.500 0.271
4 Mg 0.000 0.000 0.498

---

Most stable to least stable, the ends of the list are B and A.

---

A:
The following is a PBE calculation of a geometry-optimized HoErMgSc structure, from Alexandria.

Summary:
space-group type: No. 216
volume: 27.0 Å³ per atom

Unit cell a=5.349 b=5.349 c=5.349 alpha=60.00 beta=60.00 gamma=60.00
Fractional positions:
1 Ho 0.000 0.000 0.000
2 Er 0.500 0.500 0.500
3 Mg 0.250 0.250 0.250
4 Sc 0.750 0.750 0.750

---

B:
The following is a PBE calculation of a geometry-optimized HoErMgSc structure, from Alexandria.

Summary:
space-group type: No. 38
volume: 27.8 Å³ per atom

Unit cell a=3.377 b=10.007 c=10.007 alpha=19.21 beta=90.00 gamma=90.00
Fractional positions:
1 Ho 0.000 0.000 0.000
2 Er 0.500 0.847 0.847
3 Mg 0.000 0.228 0.228
4 Sc 0.500 0.619 0.619

---

Most stable to least stable, the ends of the list are A and B.

---

A:
The following is a PBE calculation of a geometry-optimized HoEr2Mn structure, from Alexandria.

Summary:
space-group type: No. 123
volume: 26.2 Å³ per atom

Unit cell a=4.705 b=4.705 c=4.733 alpha=90.00 beta=90.00 gamma=90.00
Fractional positions:
1 Ho 0.000 0.000 0.000
2 Er 0.000 0.500 0.500
3 Er 0.500 0.000 0.500
4 Mn 0.500 0.500 0.000

---

B:
The following is a PBE calculation of a geometry-optimized HoEr2Mn structure, from Alexandria.

Summary:
space-group type: No. 123
volume: 26.2 Å³ per atom

Unit cell a=3.502 b=3.502 c=8.549 alpha=90.00 beta=90.00 gamma=90.00
Fractional positions:
1 Ho 0.000 0.000 0.000
2 Er 0.500 0.500 0.299
3 Er 0.500 0.500 0.701
4 Mn 0.000 0.000 0.500

---

Most stable to least stable, the ends of the list are B and A.

---

A:
The following is a PBE calculation of a geometry-optimized HoErN structure, from Alexandria.

Summary:
space-group type: No. 156
volume: 20.5 Å³ per atom

Unit cell a=3.465 b=3.465 c=5.909 alpha=90.00 beta=90.00 gamma=120.00
Fractional positions:
1 Ho 0.000 0.000 0.000
2 Er 0.333 0.667 0.450
3 N 0.667 0.333 0.228

---

B:
The following is a PBE calculation of a geometry-optimized HoErN structure, from Alexandria.

Summary:
space-group type: No. 216
volume: 17.6 Å³ per atom

Unit cell a=4.210 b=4.210 c=4.210 alpha=60.00 beta=60.00 gamma=60.00
Fractional positions:
1 Ho 0.000 0.000 0.000
2 Er 0.500 0.500 0.500
3 N 0.250 0.250 0.250

---

Most stable to least stable, the ends of the list are A and B.

---

A:
The following is a PBE calculation of a geometry-optimized NaHoEr structure, from Alexandria.

Summary:
space-group type: No. 1
volume: 32.5 Å³ per atom

Unit cell a=3.578 b=5.641 c=9.802 alpha=89.80 beta=79.77 gamma=89.89
Fractional positions:
1 Na 0.000 0.000 0.000
2 Na 0.449 0.502 0.117
3 Ho 0.673 0.000 0.659
4 Ho 0.771 0.503 0.458
5 Er 0.124 0.498 0.761
6 Er 0.320 0.004 0.356

---

B:
The following is a PBE calculation of a geometry-optimized NaHoEr structure, from Alexandria.

Summary:
space-group type: No. 107
volume: 32.3 Å³ per atom

Unit cell a=8.446 b=8.446 c=8.446 alpha=156.34 beta=156.34 gamma=33.71
Fractional positions:
1 Na 0.000 0.000 0.000
2 Ho 0.323 0.323 0.000
3 Er 0.676 0.676 0.000

---

C:
The following is a PBE calculation of a geometry-optimized NaHoEr structure, from Alexandria.

Summary:
space-group type: No. 129
volume: 35.8 Å³ per atom

Unit cell a=4.396 b=4.396 c=11.122 alpha=90.00 beta=90.00 gamma=90.00
Fractional positions:
1 Na 0.250 0.250 0.087
2 Na 0.750 0.750 0.913
3 Ho 0.250 0.250 0.739
4 Ho 0.750 0.750 0.261
5 Er 0.250 0.750 0.500
6 Er 0.750 0.250 0.500

---

Most stable to least stable, the ends of the list are A and C.

---

A:
The following is a PBE calculation of a geometry-optimized NaHo2Er structure, from Alexandria.

Summary:
space-group type: No. 123
volume: 32.2 Å³ per atom

Unit cell a=3.509 b=3.509 c=10.466 alpha=90.00 beta=90.00 gamma=90.00
Fractional positions:
1 Na 0.000 0.000 0.000
2 Ho 0.500 0.500 0.272
3 Ho 0.500 0.500 0.728
4 Er 0.000 0.000 0.500

---

B:
The following is a PBE calculation of a geometry-optimized NaHo2Er structure, from Alexandria.

Summary:
space-group type: No. 166
volume: 32.9 Å³ per atom

Unit cell a=12.751 b=12.751 c=12.751 alpha=15.65 beta=15.65 gamma=15.65
Fractional positions:
1 Na 0.000 0.000 0.000
2 Ho 0.093 0.093 0.093
3 Ho 0.907 0.907 0.907
4 Er 0.500 0.500 0.500

---

Most stable to least stable, the ends of the list are A and B.

---

A:
The following is a PBE calculation of a geometry-optimized NaHoEr2 structure, from Alexandria.

Summary:
space-group type: No. 166
volume: 32.8 Å³ per atom

Unit cell a=12.750 b=12.750 c=12.750 alpha=15.63 beta=15.63 gamma=15.63
Fractional positions:
1 Na 0.000 0.000 0.000
2 Ho 0.500 0.500 0.500
3 Er 0.092 0.092 0.092
4 Er 0.908 0.908 0.908

---

B:
The following is a PBE calculation of a geometry-optimized NaHoEr2 structure, from Alexandria.

Summary:
space-group type: No. 123
volume: 32.2 Å³ per atom

Unit cell a=3.514 b=3.514 c=10.419 alpha=90.00 beta=90.00 gamma=90.00
Fractional positions:
1 Na 0.000 0.000 0.000
2 Ho 0.000 0.000 0.500
3 Er 0.500 0.500 0.272
4 Er 0.500 0.500 0.728

---

Most stable to least stable, the ends of the list are B and A.

---

A:
The following is a PBE calculation of a geometry-optimized Nd5Ho12Er2 structure, from Alexandria.

Summary:
space-group type: No. 12
volume: 33.1 Å³ per atom

Unit cell a=9.975 b=9.975 c=8.663 alpha=112.54 beta=112.54 gamma=53.84
Fractional positions:
1 Nd 0.000 0.000 0.000
2 Nd 0.236 0.236 0.790
3 Nd 0.289 0.289 0.277
4 Nd 0.711 0.711 0.723
5 Nd 0.764 0.764 0.210
6 Ho 0.041 0.669 0.596
7 Ho 0.045 0.045 0.682
8 Ho 0.150 0.595 0.045
9 Ho 0.331 0.959 0.404
10 Ho 0.405 0.850 0.955
11 Ho 0.441 0.441 0.786
12 Ho 0.559 0.559 0.214
13 Ho 0.595 0.150 0.045
14 Ho 0.669 0.041 0.596
15 Ho 0.850 0.405 0.955
16 Ho 0.955 0.955 0.318
17 Ho 0.959 0.331 0.404
18 Er 0.327 0.673 0.500
19 Er 0.673 0.327 0.500

---

B:
The following is a PBE calculation of a geometry-optimized Nd5Ho12Er2 structure, from Alexandria.

Summary:
space-group type: No. 2
volume: 32.0 Å³ per atom

Unit cell a=6.168 b=9.433 c=10.692 alpha=101.03 beta=95.59 gamma=90.04
Fractional positions:
1 Nd 0.000 0.000 0.000
2 Nd 0.158 0.631 0.946
3 Nd 0.263 0.053 0.579
4 Nd 0.737 0.947 0.421
5 Nd 0.842 0.369 0.054
6 Ho 0.054 0.213 0.317
7 Ho 0.104 0.422 0.630
8 Ho 0.211 0.840 0.263
9 Ho 0.317 0.263 0.895
10 Ho 0.369 0.473 0.213
11 Ho 0.474 0.894 0.841
12 Ho 0.526 0.106 0.159
13 Ho 0.631 0.527 0.787
14 Ho 0.683 0.737 0.105
15 Ho 0.789 0.160 0.737
16 Ho 0.896 0.578 0.370
17 Ho 0.946 0.787 0.683
18 Er 0.420 0.682 0.526
19 Er 0.580 0.318 0.474

---

Most stable to least stable, the ends of the list are B and A.